(1)
## TaSnCS2 (PBE)

Data for crystalline TaSnCS2 at its relaxed geometry.

abc: 4.525 4.525 4.221
angles: 90.00 90.00 90.00
Atoms (fractional coordinates):
Ta 0.000 0.000 0.000
Sn 0.500 0.500 0.000
C 0.000 0.000 0.500
S 0.000 0.500 0.500
S 0.500 0.000 0.500

Properties
SG: No. 123
Crystal system: tetragonal
Formation energy from raw total energies in kJ/mol of atoms: 89.2


(2)
## Ba2AlGeO (PBE)

Data for crystalline Ba2AlGeO at its relaxed geometry.

abc: 7.024 4.305 9.720
angles: 90.00 110.14 90.00
Atoms (fractional coordinates):
Ba 0.208 0.250 0.399
Ba 0.211 0.250 0.963
Ba 0.789 0.750 0.037
Ba 0.792 0.750 0.601
Al 0.461 0.750 0.251
Al 0.539 0.250 0.749
Ge 0.336 0.750 0.714
Ge 0.664 0.250 0.286
O 0.191 0.750 0.151
O 0.809 0.250 0.849

Properties
SG: No. 11
Crystal system: monoclinic
Formation energy from raw total energies in kJ/mol of atoms: -122.9


(3)
## Li2NdCd (PBE)

Data for crystalline Li2NdCd at its relaxed geometry.

abc: 5.188 6.421 6.131
angles: 90.00 114.84 90.00
Atoms (fractional coordinates):
Li 0.120 0.049 0.240
Li 0.120 0.451 0.240
Li 0.880 0.549 0.760
Li 0.880 0.951 0.760
Nd 0.401 0.250 0.803
Nd 0.599 0.750 0.197
Cd 0.304 0.750 0.608
Cd 0.696 0.250 0.392

Properties
SG: No. 11
Crystal system: monoclinic
Calculated formation energy in eV/atom: -0.109
Distance to the lowest polymorph of the same formula in meV per atom: 0


(4)
## AlSiOs (PBE)

Data for crystalline AlSiOs at its relaxed geometry.

abc: 4.226 4.270 5.892
angles: 91.04 101.77 119.17
Atoms (fractional coordinates):
Al 0.201 0.221 0.360
Al 0.799 0.779 0.640
Si 0.215 0.499 0.850
Si 0.785 0.501 0.150
Os 0.487 0.863 0.234
Os 0.513 0.137 0.766

Properties
SG: No. 2
Crystal system: triclinic
Formation energy from raw total energies in kJ/mol of atoms: -32.7


(5)
## Sr2TlRe (PBE)

Data for crystalline Sr2TlRe at its relaxed geometry.

abc: 5.072 5.072 4.456
angles: 90.00 90.00 90.00
Atoms (fractional coordinates):
Sr 0.000 0.500 0.000
Sr 0.500 0.000 0.000
Tl 0.000 0.000 0.500
Re 0.500 0.500 0.500

Properties
SG: No. 123
Crystal system: tetragonal
Calculated formation energy in eV/atom: 0.776
Distance to the lowest polymorph of the same formula in meV per atom: 166


(6)
## DyEr2Tm8 (PBE)

Data for crystalline DyEr2Tm8 at its relaxed geometry.

abc: 8.785 8.785 6.525
angles: 100.06 100.06 43.53
Atoms (fractional coordinates):
Dy 0.000 0.000 0.000
Er 0.204 0.204 0.802
Er 0.796 0.796 0.198
Tm 0.174 0.649 0.592
Tm 0.243 0.243 0.312
Tm 0.351 0.826 0.408
Tm 0.412 0.412 0.097
Tm 0.588 0.588 0.903
Tm 0.649 0.174 0.592
Tm 0.757 0.757 0.688
Tm 0.826 0.351 0.408

Properties
SG: No. 12
Crystal system: monoclinic
Calculated formation energy in eV/atom: 0.182
Distance to the lowest polymorph of the same formula in meV per atom: 76


(7)
## Ba2AlAg3 (PBE)

Data for crystalline Ba2AlAg3 at its relaxed geometry.

abc: 9.616 9.526 6.669
angles: 70.34 68.88 40.78
Atoms (fractional coordinates):
Ba 0.243 0.757 0.757
Ba 0.250 0.250 0.250
Ba 0.750 0.750 0.750
Ba 0.757 0.243 0.243
Al 0.334 0.334 0.666
Al 0.666 0.666 0.334
Ag 0.173 0.173 0.827
Ag 0.175 0.653 0.347
Ag 0.347 0.825 0.175
Ag 0.653 0.175 0.825
Ag 0.825 0.347 0.653
Ag 0.827 0.827 0.173

Properties
SG: No. 69
Crystal system: orthorhombic
Calculated formation energy in eV/atom: -0.221


(8)
## ScAgW (PBE)

Data for crystalline ScAgW at its relaxed geometry.

abc: 4.838 4.838 2.721
angles: 90.00 90.00 120.00
Atoms (fractional coordinates):
Sc 0.000 0.000 0.000
Ag 0.333 0.667 0.500
W 0.667 0.333 0.500

Properties
SG: No. 187
Crystal system: hexagonal
Calculated formation energy in eV/atom: 0.479
Distance to the lowest polymorph of the same formula in meV per atom: 240


(9)
## YPdI6 (PBE)

Data for crystalline YPdI6 at its relaxed geometry.

abc: 7.156 7.278 7.725
angles: 61.99 89.65 62.79
Atoms (fractional coordinates):
Y 0.000 0.000 0.000
Pd 0.500 0.000 0.500
I 0.094 0.491 0.251
I 0.275 0.822 0.746
I 0.426 0.842 0.265
I 0.574 0.158 0.735
I 0.725 0.178 0.254
I 0.906 0.509 0.749

Properties
SG: No. 2
Crystal system: triclinic
Formation energy from raw total energies in kJ/mol of atoms: -60.6


(10)
## AlHg2Pt (PBE)

Data for crystalline AlHg2Pt at its relaxed geometry.

abc: 3.134 3.134 27.157
angles: 90.00 90.00 120.00
Atoms (fractional coordinates):
Al 0.000 0.000 0.000
Al 0.333 0.667 0.667
Al 0.667 0.333 0.333
Hg 0.000 0.000 0.249
Hg 0.000 0.000 0.751
Hg 0.333 0.667 0.417
Hg 0.333 0.667 0.916
Hg 0.667 0.333 0.084
Hg 0.667 0.333 0.583
Pt 0.000 0.000 0.500
Pt 0.333 0.667 0.167
Pt 0.667 0.333 0.833

Properties
SG: No. 166
Crystal system: trigonal
Calculated formation energy in eV/atom: 0.135


(11)
## CsTlSiF6 (PBE)

Data for crystalline CsTlSiF6 at its relaxed geometry.

abc: 6.390 6.390 5.443
angles: 90.05 90.05 120.27
Atoms (fractional coordinates):
Cs 0.000 0.000 0.000
Tl 0.666 0.334 0.500
Si 0.333 0.667 0.500
F 0.111 0.443 0.319
F 0.114 0.669 0.683
F 0.331 0.886 0.317
F 0.333 0.446 0.683
F 0.554 0.667 0.317
F 0.557 0.889 0.681

Properties
SG: No. 5
Crystal system: monoclinic
Formation energy from raw total energies in kJ/mol of atoms: -277.2


(12)
## MnBe3N (PBE)

Data for crystalline MnBe3N at its relaxed geometry.

abc: 3.477 3.477 3.477
angles: 90.00 90.00 90.00
Atoms (fractional coordinates):
Mn 0.000 0.000 0.000
Be 0.000 0.500 0.500
Be 0.500 0.000 0.500
Be 0.500 0.500 0.000
N 0.500 0.500 0.500

Properties
SG: No. 221
Crystal system: cubic
Distance to the lowest polymorph of the same formula in meV per atom: 0
Formation energy from raw total energies in kJ/mol of atoms: 26.8


Number 1: N(E_F) 4.52 states/eV per cell. Number 2: N(E_F) 4.36 states/eV per cell. Number 3: N(E_F) 6.73 states/eV per cell. Number 4: N(E_F) 1.34 states/eV per cell. Number 5: N(E_F) 4.97 states/eV per cell. Number 6: N(E_F) 17.80 states/eV per cell. Number 7: N(E_F) 9.52 states/eV per cell. Number 8: N(E_F) 2.23 states/eV per cell. Number 9: N(E_F) 4.33 states/eV per cell. Number 10: N(E_F) 5.65 states/eV per cell. Number 11: N(E_F) 0.00 states/eV per cell. Number 12: N(E_F) 8.73 states/eV per cell.